[1]
Density functional theory data (GGA-PBE) for crystalline CaLa4Y3S8 at its relaxed geometry.

- E_form (uncorrected) (eV/atom) = -2.0904
- VASP energy (eV per cell) = -107.6

Lattice parameters (Å, degrees): 8.0590 8.1369 8.0588 119.68 120.00 90.00
Fractional positions:
La  0.0000  0.0000  0.0000
La  0.0000  0.0000  0.5000
La  0.5000  0.0000  0.5000
La  0.5000  0.0000  0.0000
S  0.2577  0.2685  0.0131
S  0.7554  0.2684  0.5107
S  0.2446  0.7316  0.4893
S  0.2446  0.7315  0.9869
S  0.7554  0.2685  0.0131
S  0.7436  0.7308  0.4873
S  0.7423  0.7315  0.9869
S  0.2564  0.2692  0.5127
Y  0.0000  0.5000  0.5000
Y  0.5000  0.5000  0.0000
Y  0.5000  0.5000  0.5000
Ca  0.0000  0.5000  0.0000

---

[2]
Density functional theory data (GGA-PBE) for crystalline CaLaY2S4 at its relaxed geometry.

- E_form (uncorrected) (eV/atom) = -2.0623
- VASP energy (eV per cell) = -52.9

Lattice parameters (Å, degrees): 3.9790 6.9540 6.9484 70.91 90.00 90.00
Fractional positions:
S  0.0000  0.7631  0.7385
S  0.0000  0.2369  0.2615
S  0.5000  0.7591  0.2528
S  0.5000  0.2409  0.7472
Ca  0.0000  0.5000  0.5000
Y  0.5000  0.0000  0.5000
Y  0.0000  0.0000  0.0000
La  0.5000  0.5000  0.0000